Below is CaSi3Cl after structural relaxation, with properties calculated at the PBE level.

Geometry as POSCAR:
```
CaSi3Cl
1.0
-2.810 -3.878 2.781
-1.142 -2.587 -4.761
4.634 -2.989 0.513
Ca Si Cl
1 3 1
Direct
0.000 0.000 0.000
0.000 0.500 0.000
0.000 0.000 0.500
0.500 0.000 0.000
0.500 0.500 0.500
```

raw formation energy: 7.11 eV/f.u.
Fermi-level density of states: 1.300 states/eV per atom
E above lowest polymorph: 789.8 meV/atom
symmetry: No. 221

Below is Na12Cd7Rh after structural relaxation, with properties calculated at the PBE level.

Geometry as POSCAR:
```
Na12Cd7Rh
1.0
8.135 0.049 -1.933
-2.457 7.755 -1.933
0.036 0.049 8.361
Na Cd Rh
12 7 1
Direct
0.766 0.234 0.499
0.501 0.234 0.766
0.919 0.676 0.678
0.322 0.081 0.324
0.766 0.501 0.234
0.324 0.322 0.081
0.676 0.678 0.919
0.234 0.499 0.766
0.678 0.919 0.676
0.081 0.324 0.322
0.499 0.766 0.234
0.234 0.766 0.501
0.307 0.929 0.930
0.070 0.693 0.071
0.071 0.070 0.693
0.500 0.500 0.500
0.929 0.930 0.307
0.930 0.307 0.929
0.693 0.071 0.070
0.000 0.000 0.000
```

Fermi-level density of states: 0.506 states/eV per atom
energy of formation: -0.05 eV per atom
symmetry: No. 148